Below is a relaxed K3Pr3SiO8 crystal, with properties calculated at the PBE level.

## Properties
- space group = R-3m, No. 166
- energy relative to the elements, uncorrected (eV/atom) = -2.441
- final energy (eV per atom) = -6.622

Unit cell a=6.9543 b=6.9552 c=7.4840 alpha=117.69 beta=90.00 gamma=120.00
With the nearest neighbours (Å) after each atom.
Fractional coordinates of all 15 atoms:
O  0.8110  0.6220  0.3359  1 Si 1.92
O  0.2682  0.5363  0.3045  3 Pr 2.36
O  0.7318  0.4637  0.6955  3 Pr 2.36
O  0.1890  0.3780  0.6641  1 Si 1.92
O  0.1889  0.9753  0.6641  1 Si 1.92
O  0.8111  0.0247  0.3359  1 Si 1.92
O  0.2136  0.0247  0.3359  1 Si 1.92
O  0.7864  0.9753  0.6641  1 Si 1.92
Si  0.0000  0.0000  0.5000  6 O 1.92
Pr  0.5000  0.5000  0.5000  6 O 2.36-2.46
Pr  0.5000  0.0000  0.5000  6 O 2.36-2.46
Pr  0.0000  0.5000  0.5000  6 O 2.36-2.46
K  0.5000  0.5000  0.0000  6 O 2.78-2.81
K  0.0000  0.5000  0.0000  6 O 2.78-2.81
K  0.0000  0.0000  0.0000  6 O 2.78-2.81



Below is a relaxed KRbAs2Se crystal, with properties calculated at the PBE level.

## Properties
- E above lowest polymorph (kJ per mole of atoms) = 0.00
- space group = P4/mmm, No. 123
- energy relative to the elements, uncorrected (eV/atom) = 0.642
- final energy (eV per atom) = -2.328

Unit cell a=5.8110 b=5.8110 c=5.9342 alpha=90.00 beta=90.00 gamma=90.00
With the nearest neighbours (Å) after each atom.
Fractional coordinates of all 5 atoms:
As  0.5000  0.0000  0.0000  2 K 2.91
As  0.0000  0.5000  0.0000  2 K 2.91
Se  0.0000  0.0000  0.5000  2 K 2.97
K  0.0000  0.0000  0.0000  4 As 2.91, 2 Se 2.97
Rb  0.5000  0.5000  0.5000  4 Se 4.11, 8 As 4.15



Below is a relaxed BeCdF4 crystal, with properties calculated at the PBE level.

## Properties
- space group = I4_1/amd, No. 141
- energy relative to the elements, uncorrected (eV/atom) = -2.731
- final energy (eV per atom) = -4.752

Unit cell a=5.7970 b=5.7970 c=5.7970 alpha=106.11 beta=106.11 gamma=116.43
With the nearest neighbours (Å) after each atom.
Fractional coordinates of all 12 atoms:
F  0.0879  0.4126  0.3248  1 Be 1.57
F  0.1626  0.3379  0.8248  1 Be 1.57
F  0.2369  0.9121  0.3248  1 Be 1.57
F  0.5131  0.3379  0.1752  1 Be 1.57
F  0.6621  0.4869  0.8248  1 Be 1.57
F  0.6621  0.8374  0.1752  1 Be 1.57
F  0.5874  0.9121  0.6752  1 Be 1.57
F  0.0879  0.7631  0.6752  1 Be 1.57
Be  0.2500  0.7500  0.5000  4 F 1.57
Be  0.5000  0.5000  0.0000  4 F 1.57
Cd  0.0000  0.0000  0.0000  8 F 2.33-2.40
Cd  0.7500  0.2500  0.5000  8 F 2.33-2.40



Below is a relaxed Rb2SrH2 crystal, with properties calculated at the PBE level.

## Properties
- E above lowest polymorph (kJ per mole of atoms) = 0.00
- space group = P4/mbm, No. 127
- final energy (eV per atom) = -1.982

Unit cell a=7.9981 b=7.9981 c=5.4156 alpha=90.00 beta=90.00 gamma=90.00
With the nearest neighbours (Å) after each atom.
Fractional coordinates of all 10 atoms:
Sr  0.5000  0.5000  0.0000  4 H 2.84
Sr  0.0000  0.0000  0.0000  4 H 2.84
H  0.7268  0.2268  0.0000  2 Sr 2.84, 2 Rb 2.99
H  0.2268  0.2732  0.0000  2 Sr 2.84, 2 Rb 2.99
H  0.7732  0.7268  0.0000  2 Sr 2.84, 2 Rb 2.99
H  0.2732  0.7732  0.0000  2 Sr 2.84, 2 Rb 2.99
Rb  0.1609  0.6609  0.5000  2 H 2.99
Rb  0.8391  0.3391  0.5000  2 H 2.99
Rb  0.6609  0.8391  0.5000  2 H 2.99
Rb  0.3391  0.1609  0.5000  2 H 2.99



Below is a relaxed YBe2NiRu crystal, with properties calculated at the PBE level.

## Properties
- energy of formation from the pure elements (eV/atom) = 2.090
- space group = P4/mmm, No. 123
- final energy (eV per atom) = -3.704

Unit cell a=4.6125 b=4.4624 c=4.6125 alpha=90.00 beta=90.00 gamma=90.00
With the nearest neighbours (Å) after each atom.
Fractional coordinates of all 5 atoms:
Be  0.0000  0.0000  0.5000  2 Y 2.31
Be  0.5000  0.0000  0.0000  2 Y 2.31
Y  0.0000  0.0000  0.0000  2 Ni 2.23, 4 Be 2.31
Ru  0.5000  0.5000  0.5000  8 Be 3.21, 4 Ni 3.26
Ni  0.0000  0.5000  0.0000  2 Y 2.23



Below is a relaxed Cu2TeCl crystal, with properties calculated at the PBE level.

## Properties
- E above lowest polymorph (kJ per mole of atoms) = 2.52
- space group = P1, No. 1
- energy relative to the elements, uncorrected (eV/atom) = -0.200
- final energy (eV per atom) = -3.495

Unit cell a=3.9061 b=3.9067 c=7.3007 alpha=74.37 beta=74.42 gamma=59.83
With the nearest neighbours (Å) after each atom.
Fractional coordinates of all 4 atoms:
Te  0.7329  0.1800  0.6973  4 Cu 2.48-2.53
Cu  0.1201  0.5685  0.5329  1 Cl 2.36, 3 Te 2.52-2.53
Cu  0.6158  0.0563  0.0552  3 Cl 2.44-2.46, 1 Te 2.48
Cl  0.2357  0.6797  0.1931  4 Cu 2.36-2.46



Below is a relaxed HfCo2Rh2 crystal, with properties calculated at the PBE level.

## Properties
- E above lowest polymorph (kJ per mole of atoms) = 0.00
- energy of formation from the pure elements (eV/atom) = -0.177
- space group = I4/mmm, No. 139
- final energy (eV per atom) = -7.951

Unit cell a=3.3305 b=3.3305 c=7.2017 alpha=76.63 beta=76.63 gamma=90.00
With the nearest neighbours (Å) after each atom.
Fractional coordinates of all 5 atoms:
Co  0.7500  0.2500  0.5000  4 Co 2.36, 4 Rh 2.60
Co  0.2500  0.7500  0.5000  4 Co 2.36, 4 Rh 2.60
Rh  0.3965  0.3965  0.2070  4 Co 2.60, 4 Hf 2.74, 1 Rh 2.82
Rh  0.6035  0.6035  0.7930  4 Co 2.60, 4 Hf 2.74, 1 Rh 2.82
Hf  0.0000  0.0000  0.0000  8 Rh 2.74



Below is a relaxed RbTl2Hg9 crystal, with properties calculated at the PBE level.

## Properties
- energy of formation from the pure elements (eV/atom) = -0.073
- space group = P6/mmm, No. 191
- final energy (eV per atom) = -0.774

Unit cell a=3.5177 b=10.8653 c=10.8653 alpha=120.00 beta=90.00 gamma=90.00
With the nearest neighbours (Å) after each atom.
Fractional coordinates of all 12 atoms:
Hg  0.0000  0.5000  0.5000  2 Tl 3.14
Hg  0.5000  0.3485  0.1743  8 Hg 3.28-3.54, 2 Tl 3.47
Hg  0.5000  0.1743  0.8257  8 Hg 3.28-3.54, 2 Tl 3.47
Hg  0.5000  0.1743  0.3485  8 Hg 3.28-3.54, 2 Tl 3.47
Hg  0.5000  0.8257  0.1743  8 Hg 3.28-3.54, 2 Tl 3.47
Hg  0.0000  0.5000  0.0000  2 Tl 3.14
Hg  0.0000  0.0000  0.5000  2 Tl 3.14
Hg  0.5000  0.8257  0.6515  8 Hg 3.28-3.54, 2 Tl 3.47
Hg  0.5000  0.6515  0.8257  8 Hg 3.28-3.54, 2 Tl 3.47
Tl  0.0000  0.3333  0.6667  9 Hg 3.14-3.47
Tl  0.0000  0.6667  0.3333  9 Hg 3.14-3.47
Rb  0.0000  0.0000  0.0000  2 Rb 3.52, 12 Hg 3.72



Below is a relaxed Al5Zn12Ga2 crystal, with properties calculated at the PBE level.

## Properties
- energy of formation from the pure elements (eV/atom) = 0.101
- space group = C2/m, No. 12
- final energy (eV per atom) = -2.007

Unit cell a=6.9128 b=6.8008 c=8.4578 alpha=98.81 beta=90.00 gamma=120.55
With the nearest neighbours (Å) after each atom.
Fractional coordinates of all 19 atoms:
Al  0.0000  0.0000  0.5000  6 Zn 2.59-2.74, 2 Al 2.70
Al  0.7662  0.5324  0.4444  8 Zn 2.62-2.89, 1 Al 2.70
Al  0.3438  0.6876  0.1197  7 Zn 2.60-2.70, 2 Ga 2.85
Al  0.6562  0.3124  0.8803  7 Zn 2.60-2.70, 2 Ga 2.85
Al  0.2338  0.4676  0.5556  8 Zn 2.62-2.89, 1 Al 2.70
Zn  0.1991  0.7736  0.4045  4 Al 2.59-2.71, 4 Zn 2.60-2.85
Zn  0.4254  0.2264  0.5955  4 Al 2.59-2.71, 4 Zn 2.60-2.85
Zn  0.5546  0.1092  0.2801  2 Al 2.60-2.62, 4 Zn 2.72-2.76
Zn  0.5332  0.4483  0.1526  3 Al 2.60-2.76, 5 Zn 2.64-2.87, 1 Ga 2.75
Zn  0.5746  0.7736  0.4045  4 Al 2.59-2.71, 4 Zn 2.60-2.85
Zn  0.4454  0.8908  0.7199  2 Al 2.60-2.62, 4 Zn 2.72-2.76
Zn  0.9151  0.4483  0.1526  3 Al 2.60-2.76, 5 Zn 2.64-2.87, 1 Ga 2.75
Zn  0.4668  0.5517  0.8474  3 Al 2.60-2.76, 5 Zn 2.64-2.87, 1 Ga 2.75
Zn  0.1028  0.2055  0.2326  2 Ga 2.71, 2 Zn 2.72, 2 Al 2.74-2.89
Zn  0.8972  0.7945  0.7674  2 Ga 2.71, 2 Zn 2.72, 2 Al 2.74-2.89
Zn  0.8009  0.2264  0.5955  4 Al 2.59-2.71, 4 Zn 2.60-2.85
Zn  0.0849  0.5517  0.8474  3 Al 2.60-2.76, 5 Zn 2.64-2.87, 1 Ga 2.75
Ga  0.7539  0.0000  0.0000  6 Zn 2.71-2.93, 2 Al 2.85
Ga  0.2461  0.0000  0.0000  6 Zn 2.71-2.93, 2 Al 2.85



Below is a relaxed DyHo3S4 crystal, with properties calculated at the PBE level.

## Properties
- E above lowest polymorph (kJ per mole of atoms) = 0.00
- space group = Cmmm, No. 65
- energy relative to the elements, uncorrected (eV/atom) = -1.977
- final energy (eV per atom) = -6.332

Unit cell a=3.8569 b=6.7552 c=6.7552 alpha=109.10 beta=90.00 gamma=90.00
With the nearest neighbours (Å) after each atom.
Fractional coordinates of all 8 atoms:
Ho  0.0000  0.5000  0.0000  6 S 2.75
Ho  0.5000  0.5000  0.5000  6 S 2.74
Ho  0.0000  0.0000  0.5000  6 S 2.75
S  0.0000  0.7486  0.7486  4 Ho 2.74-2.75, 2 Dy 2.76
S  0.5000  0.7493  0.2507  5 Ho 2.74-2.75, 1 Dy 2.76
S  0.0000  0.2514  0.2514  4 Ho 2.74-2.75, 2 Dy 2.76
S  0.5000  0.2507  0.7493  5 Ho 2.74-2.75, 1 Dy 2.76
Dy  0.5000  0.0000  0.0000  6 S 2.76



Below is a relaxed TiMnZnFe crystal, with properties calculated at the PBE level.

## Properties
- E above lowest polymorph (kJ per mole of atoms) = 11.72
- energy of formation from the pure elements (eV/atom) = 0.002
- space group = Pm, No. 6
- final energy (eV per atom) = -6.699

Unit cell a=2.6416 b=3.7321 c=5.2145 alpha=90.00 beta=90.11 gamma=90.00
With the nearest neighbours (Å) after each atom.
Fractional coordinates of all 4 atoms:
Mn  0.6621  0.0000  0.9074  1 Ti 2.42, 4 Fe 2.55, 2 Mn 2.64, 4 Zn 2.65
Fe  0.1607  0.5000  0.1236  2 Zn 2.46-2.75, 4 Mn 2.55, 4 Ti 2.63, 2 Fe 2.64
Ti  0.6605  0.0000  0.3723  1 Mn 2.42, 4 Fe 2.63, 2 Ti 2.64, 4 Zn 2.71
Zn  0.1616  0.5000  0.6512  2 Fe 2.46-2.75, 2 Zn 2.64, 4 Mn 2.65, 4 Ti 2.71



Below is a relaxed Cs4KRb2Na crystal, with properties calculated at the PBE level.

## Properties
- energy of formation from the pure elements (eV/atom) = 0.039
- space group = P2/m, No. 10
- final energy (eV per atom) = -0.932

Unit cell a=5.1600 b=16.3105 c=8.9496 alpha=79.69 beta=90.00 gamma=90.00
With the nearest neighbours (Å) after each atom.
Fractional coordinates of all 8 atoms:
Cs  0.5000  0.2755  0.7331  2 Na 4.66, 1 K 4.72, 4 Cs 5.07-5.16
Cs  0.0000  0.7375  0.7491  1 Na 4.80, 2 K 4.86, 6 Cs 5.07-5.27, 3 Rb 5.15-5.18
Cs  0.0000  0.2625  0.2509  1 Na 4.80, 2 K 4.86, 6 Cs 5.07-5.27, 3 Rb 5.15-5.18
Cs  0.5000  0.7245  0.2668  2 Na 4.66, 1 K 4.72, 4 Cs 5.07-5.16
K  0.5000  0.5000  0.0000  6 Cs 4.72-4.86, 2 K 5.16, 4 Na 5.17
Rb  0.5000  0.0000  0.5000  6 Cs 5.15-5.28, 6 Rb 5.16-5.17
Rb  0.0000  0.0000  0.0000  6 Rb 5.16-5.17, 6 Cs 5.18-5.36
Na  0.0000  0.5000  0.5000  6 Cs 4.66-4.80, 2 Na 5.16, 4 K 5.17



What did the eleventh record say?
Below is a relaxed TiMnZnFe crystal, with properties calculated at the PBE level.

## Properties
- E above lowest polymorph (kJ per mole of atoms) = 11.72
- energy of formation from the pure elements (eV/atom) = 0.002
- space group = Pm, No. 6
- final energy (eV per atom) = -6.699

Unit cell a=2.6416 b=3.7321 c=5.2145 alpha=90.00 beta=90.11 gamma=90.00
With the nearest neighbours (Å) after each atom.
Fractional coordinates of all 4 atoms:
Mn  0.6621  0.0000  0.9074  1 Ti 2.42, 4 Fe 2.55, 2 Mn 2.64, 4 Zn 2.65
Fe  0.1607  0.5000  0.1236  2 Zn 2.46-2.75, 4 Mn 2.55, 4 Ti 2.63, 2 Fe 2.64
Ti  0.6605  0.0000  0.3723  1 Mn 2.42, 4 Fe 2.63, 2 Ti 2.64, 4 Zn 2.71
Zn  0.1616  0.5000  0.6512  2 Fe 2.46-2.75, 2 Zn 2.64, 4 Mn 2.65, 4 Ti 2.71



- Which of these has the lowest final energy?
  HfCo2Rh2